1.
A geometry-optimized KAc2PbSe4 structure. Source: the Alexandria database, functional PBE.

Output
**Fermi-level density of states**: 4.70 states/eV/cell
**Raw formation energy**: -1453 meV/atom
**Uncorrected energy**: -38.59 eV per formula unit

Cell lengths 6.357, 6.357, 7.818 Å; angles 113.99, 113.99, 90.00 degrees
Fractional coordinates of all 8 atoms:
Ac 0.000 0.000 0.000
Ac 0.250 0.750 0.500
K 0.500 0.500 0.000
Se 0.243 0.243 0.486
Se 0.003 0.503 0.007
Se 0.497 0.997 0.993
Se 0.757 0.757 0.514
Pb 0.750 0.250 0.500


2.
A geometry-optimized Pm12Y5Tm structure. Source: the Alexandria database, functional PBE.

Output
**DFT formation energy**: 0.106 eV per atom
**Fermi-level density of states**: 36.71 states/eV/cell
**Uncorrected energy**: -91.89 eV per formula unit

Cell lengths 11.234, 10.615, 5.988 Å; angles 90.00, 89.99, 58.05 degrees
Fractional coordinates of all 18 atoms:
Pm 0.999 0.328 0.995
Pm 0.673 0.328 0.005
Pm 0.327 0.673 0.995
Pm 0.829 0.670 0.505
Pm 0.001 0.673 0.005
Pm 0.159 0.000 0.505
Pm 0.499 0.330 0.505
Pm 0.660 0.000 0.995
Pm 0.340 0.000 0.005
Pm 0.501 0.670 0.495
Pm 0.171 0.330 0.495
Pm 0.841 0.000 0.495
Y 0.669 0.661 0.000
Y 0.500 0.000 0.500
Y 0.331 0.339 0.000
Y 0.831 0.338 0.500
Y 0.169 0.662 0.500
Tm 0.000 0.000 0.000


3.
A geometry-optimized Li2CuPb structure. Source: the Alexandria database, functional PBE.

Output
**DFT formation energy**: 0.042 eV per atom
**Fermi-level density of states**: 1.39 states/eV/cell
**Uncorrected energy**: -11.46 eV per formula unit

Cell lengths 8.729, 8.729, 8.729 Å; angles 21.53, 21.53, 21.53 degrees
Fractional coordinates of all 4 atoms:
Cu 0.750 0.750 0.750
Li 0.487 0.487 0.487
Li 0.013 0.013 0.013
Pb 0.250 0.250 0.250


4.
A geometry-optimized CeU5S6 structure. Source: the Alexandria database, functional PBE.

Output
**Fermi-level density of states**: 26.53 states/eV/cell
**Raw formation energy**: -1475 meV/atom
**Uncorrected energy**: -104.84 eV per formula unit

Cell lengths 6.744, 6.721, 6.744 Å; angles 60.11, 80.37, 70.38 degrees
Site moments in Bohr magnetons follow the coordinates.
Fractional coordinates of all 12 atoms:
S 0.746 0.085 0.339  -0.06
S 0.750 0.744 0.000  -0.06
S 0.254 0.576 0.339  -0.06
S 0.254 0.915 0.661  -0.06
S 0.250 0.256 0.000  -0.06
S 0.746 0.424 0.661  -0.06
U 0.000 0.333 0.335  2.10
U 0.500 0.836 0.328  2.11
U 0.000 0.667 0.665  2.10
U 0.500 0.500 0.000  2.11
U 0.500 0.164 0.672  2.11
Ce 0.000 0.000 0.000  0.28


5.
A geometry-optimized Y2As structure. Source: the Alexandria database, functional PBE.

Output
**DFT formation energy**: -0.737 eV per atom
**Fermi-level density of states**: 4.83 states/eV/cell
**Uncorrected energy**: -19.79 eV per formula unit

Cell lengths 8.016, 8.016, 4.736 Å; angles 90.00, 90.00, 150.90 degrees
Site moments in Bohr magnetons follow the coordinates.
Fractional coordinates of all 6 atoms:
As 0.098 0.902 0.250  -0.01
As 0.902 0.098 0.750  -0.01
Y 0.572 0.428 0.750  0.08
Y 0.428 0.572 0.250  0.08
Y 0.745 0.255 0.250  0.13
Y 0.255 0.745 0.750  0.13


6.
A geometry-optimized Sr3CrRe structure. Source: the Alexandria database, functional PBE.

Output
**Relative energy among the computed polymorphs**: 0.0 kJ/mol of atoms
**DFT formation energy**: 1.148 eV per atom
**Fermi-level density of states**: 4.14 states/eV/cell
**Uncorrected energy**: -21.38 eV per formula unit

Cell lengths 5.822, 5.822, 5.822 Å; angles 90.00, 90.00, 90.00 degrees
Site moments in Bohr magnetons follow the coordinates.
Fractional coordinates of all 5 atoms:
Sr 0.000 0.000 0.500  0.00
Sr 0.000 0.500 0.000  0.03
Sr 0.500 0.000 0.000  0.03
Re 0.000 0.000 0.000  0.97
Cr 0.500 0.500 0.500  4.22


- Which of these has the highest uncorrected energy?
  Li2CuPb